*w*
Below is crystalline Bi2HOs at its relaxed geometry, with properties calculated at the GGA-PBE level.

Lattice parameters (Å, degrees): 6.6823 6.6823 6.6823 90.00 90.00 90.00
Closest atoms and distances in Å follow each position.
Space group Fm-3m (No. 225)
Asymmetric unit:
Bi  0.2500  0.2500  0.2500 (multiplicity 8)  4 H 2.89, 4 Os 2.89
H  0.0000  0.0000  0.0000 (multiplicity 4)  8 Bi 2.89
Os  0.0000  0.0000  0.5000 (multiplicity 4)  8 Bi 2.89

density = 13.561 Mg/m³
volume = 75 Å³/f.u.
DOS at the Fermi energy = 13.80 states/eV/cell
total magnetic moment = 1.7 Bohr magnetons per cell

=====

*x*
Below is crystalline Bi2HOs at its relaxed geometry, with properties calculated at the GGA-PBE level.

Lattice parameters (Å, degrees): 6.6067 6.6067 7.3348 90.00 90.00 90.00
Closest atoms and distances in Å follow each position.
Space group I-42d (No. 122)
Asymmetric unit:
Bi  0.1992  0.2500  0.1250 (multiplicity 8)  2 H 2.30
H  0.0000  0.0000  0.0000 (multiplicity 4)  4 Bi 2.30
Os  0.0000  0.0000  0.5000 (multiplicity 4)  4 Bi 2.74

density = 12.639 Mg/m³
volume = 80 Å³/f.u.
DOS at the Fermi energy = 8.38 states/eV/cell
total magnetic moment = 0.0 Bohr magnetons per cell

=====

What should be chosen as the least stable of them? Choose *x*.

=====

*w*
Below is crystalline BiP2H at its relaxed geometry, with properties calculated at the GGA-PBE level.

Lattice parameters (Å, degrees): 6.6189 6.6189 6.6189 90.00 90.00 90.00
Closest atoms and distances in Å follow each position.
Space group Fm-3m (No. 225)
Asymmetric unit:
Bi  0.0000  0.0000  0.0000 (multiplicity 4)  8 P 2.87
P  0.2500  0.2500  0.2500 (multiplicity 8)  4 H 2.87, 4 Bi 2.87
H  0.0000  0.0000  0.5000 (multiplicity 4)  8 P 2.87

density = 6.229 Mg/m³
volume = 72 Å³/f.u.
DOS at the Fermi energy = 11.32 states/eV/cell
total magnetic moment = 0.2 Bohr magnetons per cell

=====

*x*
Below is crystalline BiP2H at its relaxed geometry, with properties calculated at the GGA-PBE level.

Lattice parameters (Å, degrees): 4.7038 4.7038 12.9945 90.00 90.00 90.00
Closest atoms and distances in Å follow each position.
Space group I-42d (No. 122)
Asymmetric unit:
Bi  0.0000  0.0000  0.0000 (multiplicity 4)  8 P 2.94-3.25
P  0.0444  0.2500  0.6250 (multiplicity 8)  2 H 2.02
H  0.0000  0.0000  0.5000 (multiplicity 4)  4 P 2.02

density = 6.282 Mg/m³
volume = 72 Å³/f.u.
DOS at the Fermi energy = 7.07 states/eV/cell
total magnetic moment = 0.0 Bohr magnetons per cell

=====

What should be chosen as the least stable of them? Choose *w*.

=====

*w*
Below is crystalline BiHPb2 at its relaxed geometry, with properties calculated at the GGA-PBE level.

Lattice parameters (Å, degrees): 6.0001 6.0001 13.2786 90.00 90.00 90.00
Closest atoms and distances in Å follow each position.
Space group I-42d (No. 122)
Asymmetric unit:
Bi  0.0000  0.0000  0.0000 (multiplicity 4)  4 Pb 3.16
H  0.0000  0.0000  0.5000 (multiplicity 4)  4 Pb 2.36
Pb  0.1276  0.2500  0.6250 (multiplicity 8)  2 H 2.36

density = 8.675 Mg/m³
volume = 120 Å³/f.u.
DOS at the Fermi energy = 4.16 states/eV/cell
total magnetic moment = 0.0 Bohr magnetons per cell

=====

*x*
Below is crystalline BiHPb2 at its relaxed geometry, with properties calculated at the GGA-PBE level.

Lattice parameters (Å, degrees): 7.9455 5.8708 4.9542 90.00 111.69 90.00
Closest atoms and distances in Å follow each position.
Space group Cm (No. 8)
Asymmetric unit:
Bi  0.0000  0.0000  0.0000 (multiplicity 2)  1 H 2.04
H  0.1882  0.0000  0.8096 (multiplicity 2)  1 Bi 2.04, 1 Pb 2.09
Pb  0.1884  0.5000  0.3108 (multiplicity 2)  4 Pb 3.31-3.40, 4 Bi 3.36-3.40
Pb  0.3818  0.0000  0.6169 (multiplicity 2)  1 H 2.09

density = 9.657 Mg/m³
volume = 107 Å³/f.u.
DOS at the Fermi energy = 1.95 states/eV/cell
total magnetic moment = 0.0 Bohr magnetons per cell

=====

What should be chosen as the least stable of them? Choose *w*.